A plane-wave DFT calculation with meta-GGA SCAN was carried out for CrW3Se at its PBEsol-relaxed geometry.

**Total magnetization**: 3.52 μB per formula unit
**Uncorrected energy**: -238.6 eV per cell
**Formation energy without anion corrections**: 1.7900 eV per atom
**Space group**: Pm-3m (221)

a = 4.5388 Å, b = 4.5388 Å, c = 4.5388 Å
α = 90.00°, β = 90.00°, γ = 90.00°
Fractional positions:
Cr: 0.0000 0.0000 0.0000
W: 0.0000 0.5000 0.5000
W: 0.5000 0.0000 0.5000
W: 0.5000 0.5000 0.0000
Se: 0.5000 0.5000 0.5000



A plane-wave DFT calculation with meta-GGA SCAN was carried out for Y4CrSe at its PBEsol-relaxed geometry.

**Total magnetization**: 6.32 μB per formula unit
**Uncorrected energy**: -147.0 eV per cell
**Formation energy without anion corrections**: 0.4695 eV per atom
**Space group**: F-43m (216)

a = 6.1650 Å, b = 6.1650 Å, c = 6.1650 Å
α = 60.00°, β = 60.00°, γ = 60.00°
Fractional positions:
Y: 0.3757 0.3757 0.3757
Y: 0.3757 0.3757 0.8728
Y: 0.3757 0.8728 0.3757
Y: 0.8728 0.3757 0.3757
Cr: 0.7500 0.7500 0.7500
Se: 0.0000 0.0000 0.0000



A plane-wave DFT calculation with meta-GGA SCAN was carried out for ZnCrSe2 at its PBEsol-relaxed geometry.

**Total magnetization**: 3.73 μB per formula unit
**Uncorrected energy**: -73.5 eV per cell
**Formation energy without anion corrections**: -0.3590 eV per atom
**Space group**: Imm2 (44)

a = 6.5174 Å, b = 6.5174 Å, c = 6.5174 Å
α = 149.46°, β = 148.92°, γ = 44.14°
Fractional positions:
Zn: 0.0000 0.0000 0.0000
Cr: 0.7375 0.2375 0.5000
Se: 0.3220 0.8220 0.5000
Se: 0.5784 0.5784 0.0000



A plane-wave DFT calculation with meta-GGA SCAN was carried out for ZnCrSe at its PBEsol-relaxed geometry.

**Total magnetization**: 1.87 μB per formula unit
**Uncorrected energy**: -51.8 eV per cell
**Formation energy without anion corrections**: 0.0622 eV per atom
**Space group**: P3m1 (156)

a = 2.9754 Å, b = 2.9754 Å, c = 6.1015 Å
α = 90.00°, β = 90.00°, γ = 120.00°
Fractional positions:
Zn: 0.0000 0.0000 0.0000
Cr: 0.3333 0.6667 0.6840
Se: 0.6667 0.3333 0.4263